1.
PBE-GGA YAs2RhO8, relaxed; crystal system = trigonal; V = 170 Å³/cell; total energy = -80.33 eV per cell; raw formation energy = -1.46 eV per atom
1.0
5.449 0.000 0.000
-2.725 4.719 0.000
0.000 0.000 6.620
Y As Rh O
1 2 1 8
direct
0.000 0.000 0.000 Y
0.333 0.667 0.221 As
0.667 0.333 0.779 As
0.000 0.000 0.500 Rh
0.156 0.312 0.285 O
0.156 0.844 0.285 O
0.312 0.156 0.715 O
0.333 0.667 0.967 O
0.667 0.333 0.033 O
0.688 0.844 0.285 O
0.844 0.156 0.715 O
0.844 0.688 0.715 O

=====

2.
PBE-GGA ZnAsRhO6, relaxed; crystal system = trigonal; V = 196 Å³/cell; total energy = -103.31 eV per cell; D(E_F) = 5.40 states/eV per cell; raw formation energy = -0.96 eV per atom
1.0
5.031 0.000 0.000
-2.515 4.357 0.000
0.000 0.000 8.947
Zn As Rh O
2 2 2 12
direct
0.000 0.000 0.000 Zn
0.000 0.000 0.500 Zn
0.333 0.667 0.250 As
0.667 0.333 0.750 As
0.333 0.667 0.750 Rh
0.667 0.333 0.250 Rh
0.017 0.363 0.135 O
0.017 0.653 0.365 O
0.347 0.363 0.365 O
0.347 0.983 0.135 O
0.363 0.017 0.635 O
0.363 0.347 0.865 O
0.637 0.653 0.135 O
0.637 0.983 0.365 O
0.653 0.017 0.865 O
0.653 0.637 0.635 O
0.983 0.347 0.635 O
0.983 0.637 0.865 O

=====

3.
PBE-GGA ZnAs2RhO6, relaxed; crystal system = monoclinic; V = 271 Å³/cell; total energy = -112.69 eV per cell; D(E_F) = 9.33 states/eV per cell; raw formation energy = -0.87 eV per atom
1.0
5.942 -4.103 0.000
5.942 4.103 0.000
-3.046 0.000 5.561
Zn As Rh O
2 4 2 12
direct
0.122 0.878 0.750 Zn
0.878 0.122 0.250 Zn
0.189 0.396 0.790 As
0.396 0.189 0.290 As
0.604 0.811 0.710 As
0.811 0.604 0.210 As
0.186 0.814 0.250 Rh
0.814 0.186 0.750 Rh
0.041 0.695 0.370 O
0.087 0.675 0.882 O
0.305 0.959 0.130 O
0.325 0.913 0.618 O
0.326 0.337 0.572 O
0.337 0.326 0.072 O
0.663 0.674 0.928 O
0.674 0.663 0.428 O
0.675 0.087 0.382 O
0.695 0.041 0.870 O
0.913 0.325 0.118 O
0.959 0.305 0.630 O

=====

4.
PBE-GGA Zr2AsRhO, relaxed; crystal system = tetragonal; V = 98 Å³/cell; total energy = -34.14 eV per cell; D(E_F) = 4.79 states/eV per cell; raw formation energy = -0.02 eV per atom
1.0
5.130 0.000 0.000
0.000 5.130 0.000
0.000 0.000 3.729
Zr As Rh O
2 1 1 1
direct
0.000 0.500 0.000 Zr
0.500 0.000 0.000 Zr
0.000 0.000 0.000 As
0.500 0.500 0.500 Rh
0.000 0.000 0.500 O

=====

5.
PBE-GGA AsRuO3, relaxed; crystal system = cubic; V = 58 Å³/cell; total energy = -29.82 eV per cell; D(E_F) = 4.35 states/eV per cell; raw formation energy = -0.20 eV per atom
1.0
3.876 0.000 0.000
0.000 3.876 0.000
0.000 0.000 3.876
As Ru O
1 1 3
direct
0.000 0.000 0.000 As
0.500 0.500 0.500 Ru
0.000 0.500 0.500 O
0.500 0.000 0.500 O
0.500 0.500 0.000 O

=====

6.
PBE-GGA AsRuO6, relaxed; crystal system = trigonal; V = 86 Å³/cell; total energy = -48.80 eV per cell; D(E_F) = 4.46 states/eV per cell; raw formation energy = -0.64 eV per atom
1.0
2.414 1.394 4.267
-2.414 1.394 4.267
0.000 -2.787 4.267
As Ru O
1 1 6
direct
0.000 0.000 0.000 As
0.500 0.500 0.500 Ru
0.109 0.383 0.756 O
0.244 0.891 0.617 O
0.383 0.756 0.109 O
0.617 0.244 0.891 O
0.756 0.109 0.383 O
0.891 0.617 0.244 O

=====

7.
PBE-GGA As2RuO6, relaxed; crystal system = monoclinic; V = 131 Å³/cell; total energy = -56.46 eV per cell; D(E_F) = 1.81 states/eV per cell; raw formation energy = -0.90 eV per atom
1.0
4.715 -1.664 0.000
4.715 1.664 0.000
-0.329 0.000 8.347
As Ru O
2 1 6
direct
0.210 0.210 0.238 As
0.790 0.790 0.762 As
0.500 0.500 0.500 Ru
0.113 0.113 0.423 O
0.325 0.325 0.849 O
0.391 0.391 0.294 O
0.609 0.609 0.706 O
0.675 0.675 0.151 O
0.887 0.887 0.577 O

=====

8.
PBE-GGA As2RuO, relaxed; crystal system = tetragonal; V = 144 Å³/cell; total energy = -47.20 eV per cell; D(E_F) = 3.62 states/eV per cell; raw formation energy = -0.02 eV per atom
1.0
-2.658 2.658 5.099
2.658 -2.658 5.099
2.658 2.658 -5.099
As Ru O
4 2 2
direct
0.102 0.625 0.977 As
0.375 0.352 0.477 As
0.648 0.125 0.023 As
0.875 0.898 0.523 As
0.250 0.750 0.500 Ru
0.500 0.500 0.000 Ru
0.000 0.000 0.000 O
0.750 0.250 0.500 O